The following is a PBE calculation of TiCr2Te after structural relaxation, from Alexandria.

The structure in POSCAR format:
```
TiCr2Te
1.0
-2.697 0.813 -2.674
2.058 -1.936 -2.665
-4.723 -8.172 -0.540
Te Cr Ti
2 4 2
Direct
0.000 0.000 0.000
0.750 0.250 0.500
0.875 0.808 0.750
0.192 0.625 0.250
0.558 0.125 0.250
0.375 0.442 0.750
0.500 0.500 0.000
0.250 0.750 0.500
```

Uncorrected formation energy (eV per atom): 0.59
Calculated volume (Å³/f.u.): 68.2
Symmetry: I-42d (122)